[1]
The following is a DFT calculation (GGA-PBE) of an optimized crystal structure of Li3SbIr.

Results
Raw formation energy = 0.340 eV per atom

The structure in POSCAR format:
```
Li3SbIr
1.0
4.6000 0.0000 0.0000
0.0000 4.6000 0.0000
0.0000 0.0000 4.6000
Li Sb Ir
3 1 1
direct
0.0000 0.0000 0.5000 Li
0.0000 0.5000 0.0000 Li
0.5000 0.0000 0.0000 Li
0.5000 0.5000 0.5000 Sb
0.0000 0.0000 0.0000 Ir
```

---

[2]
The following is a DFT calculation (GGA-PBE) of an optimized crystal structure of CaPd3Pb3.

Results
E_form = 20.3 meV per atom

The structure in POSCAR format:
```
CaPd3Pb3
1.0
7.5386 0.0000 0.0000
0.0000 7.5386 0.0000
0.0000 0.0000 7.5386
Ca Pd Pb
2 6 6
direct
0.0000 0.0000 0.0000 Ca
0.5000 0.5000 0.5000 Ca
0.0000 0.2500 0.5000 Pd
0.0000 0.7500 0.5000 Pd
0.2500 0.5000 0.0000 Pd
0.5000 0.0000 0.2500 Pd
0.5000 0.0000 0.7500 Pd
0.7500 0.5000 0.0000 Pd
0.0000 0.5000 0.2500 Pb
0.0000 0.5000 0.7500 Pb
0.2500 0.0000 0.5000 Pb
0.5000 0.2500 0.0000 Pb
0.5000 0.7500 0.0000 Pb
0.7500 0.0000 0.5000 Pb
```

---

[3]
The following is a DFT calculation (GGA-PBE) of an optimized crystal structure of Ce2ZnSiRh6.

Results
Raw formation energy = -0.631 eV per atom

The structure in POSCAR format:
```
Ce2ZnSiRh6
1.0
5.5621 0.0000 0.0000
2.7617 5.4122 0.0000
2.7727 -0.5170 5.7770
Ce Zn Si Rh
2 1 1 6
direct
0.2484 0.2473 0.2555 Ce
0.7516 0.7527 0.7445 Ce
0.5000 0.5000 0.5000 Zn
0.0000 0.0000 0.0000 Si
0.1890 0.8253 0.2937 Rh
0.2506 0.5557 0.9424 Rh
0.3060 0.1744 0.7057 Rh
0.6940 0.8256 0.2943 Rh
0.7494 0.4443 0.0576 Rh
0.8110 0.1747 0.7063 Rh
```

---

[4]
The following is a DFT calculation (GGA-PBE) of an optimized crystal structure of NiAg2Os.

Results
E_form = 889.2 meV per atom

The structure in POSCAR format:
```
NiAg2Os
1.0
0.0000 3.1426 3.1426
3.1426 0.0000 3.1426
3.1426 3.1426 0.0000
Ni Ag Os
1 2 1
direct
0.0000 0.0000 0.0000 Ni
0.2500 0.2500 0.2500 Ag
0.7500 0.7500 0.7500 Ag
0.5000 0.5000 0.5000 Os
```

---

[5]
The following is a DFT calculation (GGA-PBE) of an optimized crystal structure of SrLaCd10.

Results
E_form = -215.1 meV per atom

The structure in POSCAR format:
```
SrLaCd10
1.0
4.8627 0.0000 0.0000
0.0000 6.0127 0.0000
0.0000 0.0000 10.4122
Sr La Cd
1 1 10
direct
0.0000 0.0000 0.0000 Sr
0.0000 0.5000 0.5000 La
0.0000 0.0000 0.3332 Cd
0.0000 0.0000 0.6668 Cd
0.0000 0.5000 0.1666 Cd
0.0000 0.5000 0.8334 Cd
0.5000 0.0000 0.5000 Cd
0.5000 0.2547 0.2576 Cd
0.5000 0.2547 0.7424 Cd
0.5000 0.5000 0.0000 Cd
0.5000 0.7453 0.2576 Cd
0.5000 0.7453 0.7424 Cd
```

---

[6]
The following is a DFT calculation (GGA-PBE) of an optimized crystal structure of TlHg2P.

Results
E_form = 400.2 meV per atom

The structure in POSCAR format:
```
TlHg2P
1.0
2.7775 -5.6693 0.0000
2.7775 5.6693 0.0000
0.0000 0.0000 3.2380
Tl Hg P
1 2 1
direct
0.0000 0.0000 0.0000 Tl
0.0000 0.5000 0.5000 Hg
0.5000 0.0000 0.5000 Hg
0.5000 0.5000 0.0000 P
```

---

[7]
The following is a DFT calculation (GGA-PBE) of an optimized crystal structure of Si3BMo.

Results
Raw formation energy = 0.888 eV per atom

The structure in POSCAR format:
```
Si3BMo
1.0
4.0740 0.0000 0.0000
0.0000 4.0740 0.0000
0.0000 0.0000 4.0740
Si B Mo
3 1 1
direct
0.0000 0.0000 0.5000 Si
0.0000 0.5000 0.0000 Si
0.5000 0.0000 0.0000 Si
0.0000 0.0000 0.0000 B
0.5000 0.5000 0.5000 Mo
```

---

[8]
The following is a DFT calculation (GGA-PBE) of an optimized crystal structure of NbCuP2O8.

Results
Raw formation energy = -2.017 eV per atom

The structure in POSCAR format:
```
NbCuP2O8
1.0
5.1801 0.0000 0.0000
0.0000 6.2019 0.0000
-0.3149 0.0000 9.8949
Nb Cu P O
2 2 4 16
direct
0.0669 0.2500 0.2766 Nb
0.9331 0.7500 0.7234 Nb
0.4046 0.2500 0.7887 Cu
0.5954 0.7500 0.2112 Cu
0.0659 0.7500 0.4011 P
0.3582 0.7500 0.9027 P
0.6418 0.2500 0.0973 P
0.9341 0.2500 0.5989 P
0.1386 0.7500 0.5568 O
0.1906 0.5607 0.8370 O
0.1906 0.9393 0.8370 O
0.1976 0.5460 0.3392 O
0.1976 0.9540 0.3392 O
0.2248 0.2500 0.6165 O
0.3689 0.2500 0.1590 O
0.3723 0.7500 0.0534 O
0.6277 0.2500 0.9466 O
0.6311 0.7500 0.8410 O
0.7752 0.7500 0.3835 O
0.8024 0.0460 0.6608 O
0.8024 0.4540 0.6608 O
0.8094 0.0607 0.1630 O
0.8094 0.4393 0.1630 O
0.8614 0.2500 0.4432 O
```

---

In eV/atom, the raw total energy values for the records above are, in order, -3.4049, -4.0805, -6.8980, -4.7892, -1.5285, -1.6947, -5.8673, -7.4051.